# 1
Below is a relaxed Ba4AgTe crystal, with properties calculated at the PBE level.

Geometry as POSCAR:
```
Ba4AgTe
1.0
0.000 5.151 5.151
5.151 0.000 5.151
5.151 5.151 0.000
Ba Ag Te
4 1 1
Direct
0.124 0.124 0.124 Ba
0.124 0.124 0.628 Ba
0.124 0.628 0.124 Ba
0.628 0.124 0.124 Ba
0.500 0.500 0.500 Ag
0.750 0.750 0.750 Te
```

Results
N(E_F) = 6.8 states/eV/f.u.
Formation energy (no corrections) = 0.1143 eV/atom

---

# 2
Below is a relaxed ScV3Te crystal, with properties calculated at the PBE level.

Geometry as POSCAR:
```
ScV3Te
1.0
4.567 0.000 0.000
0.000 4.567 0.000
0.000 0.000 4.567
Sc V Te
1 3 1
Direct
0.000 0.000 0.000 Sc
0.000 0.000 0.500 V
0.000 0.500 0.000 V
0.500 0.000 0.000 V
0.500 0.500 0.500 Te
```

Results
N(E_F) = 7.7 states/eV/f.u.
Polymorph energy (0 for the lowest one) = 0.4565 eV per atom
Formation energy (no corrections) = 1.4915 eV/atom

---

# 3
Below is a relaxed TbY3Pu2Te6 crystal, with properties calculated at the PBE level.

Geometry as POSCAR:
```
TbY3Pu2Te6
1.0
9.577 -2.186 0.000
9.577 2.186 0.000
-2.076 0.000 8.558
Tb Y Pu Te
1 3 2 6
Direct
0.000 0.000 0.000 Tb
0.000 0.000 0.500 Y
0.333 0.333 0.166 Y
0.667 0.667 0.834 Y
0.334 0.334 0.667 Pu
0.666 0.666 0.333 Pu
0.166 0.166 0.080 Te
0.166 0.166 0.586 Te
0.498 0.498 0.250 Te
0.502 0.502 0.750 Te
0.834 0.834 0.414 Te
0.834 0.834 0.920 Te
```

Results
N(E_F) = 23.0 states/eV/f.u.
Formation energy (no corrections) = -1.2625 eV/atom

---

# 4
Below is a relaxed Ba2MgHg crystal, with properties calculated at the PBE level.

Geometry as POSCAR:
```
Ba2MgHg
1.0
4.434 0.000 0.000
-2.217 3.840 0.000
0.000 0.000 31.207
Ba Mg Hg
6 3 3
Direct
0.000 0.000 0.244 Ba
0.000 0.000 0.756 Ba
0.333 0.667 0.423 Ba
0.333 0.667 0.911 Ba
0.667 0.333 0.089 Ba
0.667 0.333 0.577 Ba
0.000 0.000 0.000 Mg
0.333 0.667 0.667 Mg
0.667 0.333 0.333 Mg
0.000 0.000 0.500 Hg
0.333 0.667 0.167 Hg
0.667 0.333 0.833 Hg
```

Results
Energy of formation from the pure elements = -0.10 eV/atom
N(E_F) = 5.1 states/eV/f.u.
Polymorph energy (0 for the lowest one) = 0.1881 eV per atom

---

# 5
Below is a relaxed NdP6Pd12 crystal, with properties calculated at the PBE level.

Geometry as POSCAR:
```
NdP6Pd12
1.0
5.494 3.172 2.966
-5.494 3.172 2.966
0.000 -6.344 2.966
Nd P Pd
1 6 12
Direct
0.000 0.000 0.000 Nd
0.236 0.236 0.673 P
0.236 0.673 0.236 P
0.327 0.764 0.764 P
0.673 0.236 0.236 P
0.764 0.327 0.764 P
0.764 0.764 0.327 P
0.127 0.500 0.873 Pd
0.127 0.873 0.500 Pd
0.180 0.449 0.449 Pd
0.449 0.180 0.449 Pd
0.449 0.449 0.180 Pd
0.500 0.127 0.873 Pd
0.500 0.873 0.127 Pd
0.551 0.551 0.820 Pd
0.551 0.820 0.551 Pd
0.820 0.551 0.551 Pd
0.873 0.127 0.500 Pd
0.873 0.500 0.127 Pd
```

Results
Energy of formation from the pure elements = -0.48 eV/atom
N(E_F) = 10.3 states/eV/f.u.

---

# 6
Below is a relaxed TcRu4 crystal, with properties calculated at the PBE level.

Geometry as POSCAR:
```
TcRu4
1.0
5.627 0.000 0.000
0.000 5.627 0.000
0.000 0.000 5.627
Tc Ru
2 8
Direct
0.000 0.000 0.000 Tc
0.500 0.500 0.500 Tc
0.250 0.250 0.250 Ru
0.250 0.250 0.750 Ru
0.250 0.750 0.250 Ru
0.250 0.750 0.750 Ru
0.750 0.250 0.250 Ru
0.750 0.250 0.750 Ru
0.750 0.750 0.250 Ru
0.750 0.750 0.750 Ru
```

Results
Energy of formation from the pure elements = 1.38 eV/atom
N(E_F) = 9.8 states/eV/f.u.
Polymorph energy (0 for the lowest one) = 1.3038 eV per atom

---

# 7
Below is a relaxed ReSbP2Cl crystal, with properties calculated at the PBE level.

Geometry as POSCAR:
```
ReSbP2Cl
1.0
5.090 0.000 0.000
0.000 5.090 0.000
0.000 0.000 5.307
Re Sb P Cl
1 1 2 1
Direct
0.000 0.000 0.000 Re
0.000 0.000 0.500 Sb
0.000 0.500 0.500 P
0.500 0.000 0.500 P
0.500 0.500 0.000 Cl
```

Results
N(E_F) = 3.6 states/eV/f.u.
Polymorph energy (0 for the lowest one) = 1.2360 eV per atom
Formation energy (no corrections) = 1.7676 eV/atom

---

# 8
Below is a relaxed NaSm2Ho crystal, with properties calculated at the PBE level.

Geometry as POSCAR:
```
NaSm2Ho
1.0
3.522 0.000 0.000
0.000 3.522 0.000
0.000 0.000 10.844
Na Sm Ho
1 2 1
Direct
0.000 0.000 0.000 Na
0.500 0.500 0.268 Sm
0.500 0.500 0.732 Sm
0.000 0.000 0.500 Ho
```

Results
Energy of formation from the pure elements = 0.11 eV/atom
N(E_F) = 4.0 states/eV/f.u.
Polymorph energy (0 for the lowest one) = 0.0000 eV per atom

---

# 9
Below is a relaxed Cs5Na3I12 crystal, with properties calculated at the PBE level.

Geometry as POSCAR:
```
Cs5Na3I12
1.0
-10.688 10.688 10.688
10.688 -10.688 10.688
10.688 10.688 -10.688
Cs Na I
20 12 48
Direct
0.000 0.000 0.000 Cs
0.000 0.000 0.500 Cs
0.000 0.500 0.000 Cs
0.000 0.500 0.500 Cs
0.125 0.750 0.875 Cs
0.125 0.875 0.250 Cs
0.250 0.125 0.875 Cs
0.250 0.625 0.375 Cs
0.375 0.250 0.625 Cs
0.375 0.625 0.750 Cs
0.500 0.000 0.000 Cs
0.500 0.000 0.500 Cs
0.500 0.500 0.000 Cs
0.500 0.500 0.500 Cs
0.625 0.375 0.250 Cs
0.625 0.750 0.375 Cs
0.750 0.375 0.625 Cs
0.750 0.875 0.125 Cs
0.875 0.125 0.750 Cs
0.875 0.250 0.125 Cs
0.125 0.250 0.375 Na
0.125 0.375 0.750 Na
0.250 0.375 0.125 Na
0.250 0.875 0.625 Na
0.375 0.125 0.250 Na
0.375 0.750 0.125 Na
0.625 0.250 0.875 Na
0.625 0.875 0.750 Na
0.750 0.125 0.375 Na
0.750 0.625 0.875 Na
0.875 0.625 0.250 Na
0.875 0.750 0.625 Na
0.046 0.631 0.363 I
0.046 0.915 0.682 I
0.085 0.267 0.131 I
0.085 0.318 0.954 I
0.131 0.085 0.267 I
0.131 0.546 0.863 I
0.137 0.767 0.682 I
0.137 0.869 0.454 I
0.182 0.267 0.637 I
0.182 0.415 0.546 I
0.233 0.318 0.863 I
0.233 0.415 0.369 I
0.267 0.131 0.085 I
0.267 0.637 0.182 I
0.318 0.863 0.233 I
0.318 0.954 0.085 I
0.363 0.046 0.631 I
0.363 0.818 0.733 I
0.369 0.233 0.415 I
0.369 0.637 0.954 I
0.415 0.369 0.233 I
0.415 0.546 0.182 I
0.454 0.137 0.869 I
0.454 0.818 0.585 I
0.546 0.182 0.415 I
0.546 0.863 0.131 I
0.585 0.454 0.818 I
0.585 0.631 0.767 I
0.631 0.363 0.046 I
0.631 0.767 0.585 I
0.637 0.182 0.267 I
0.637 0.954 0.369 I
0.682 0.046 0.915 I
0.682 0.137 0.767 I
0.733 0.363 0.818 I
0.733 0.869 0.915 I
0.767 0.585 0.631 I
0.767 0.682 0.137 I
0.818 0.585 0.454 I
0.818 0.733 0.363 I
0.863 0.131 0.546 I
0.863 0.233 0.318 I
0.869 0.454 0.137 I
0.869 0.915 0.733 I
0.915 0.682 0.046 I
0.915 0.733 0.869 I
0.954 0.085 0.318 I
0.954 0.369 0.637 I
```

Results
N(E_F) = 17.0 states/eV/f.u.
Formation energy (no corrections) = -0.9426 eV/atom

---

# 10
Below is a relaxed Be2NiAs crystal, with properties calculated at the PBE level.

Geometry as POSCAR:
```
Be2NiAs
1.0
2.764 0.000 0.000
0.000 3.798 0.000
-1.372 0.000 4.455
Be Ni As
2 1 1
Direct
0.000 0.000 0.000 Be
0.134 0.500 0.270 Be
0.694 0.000 0.388 Ni
0.857 0.500 0.722 As
```

Results
Energy of formation from the pure elements = -0.04 eV/atom
N(E_F) = 1.0 states/eV/f.u.

---

# 11
Below is a relaxed HfBe3P crystal, with properties calculated at the PBE level.

Geometry as POSCAR:
```
HfBe3P
1.0
4.663 0.000 0.000
0.000 4.663 0.000
0.000 0.000 4.663
Hf Be P
1 3 1
Direct
0.000 0.000 0.000 Hf
0.000 0.000 0.500 Be
0.000 0.500 0.000 Be
0.500 0.000 0.000 Be
0.500 0.500 0.500 P
```

Results
Energy of formation from the pure elements = 1.99 eV/atom
N(E_F) = 4.1 states/eV/f.u.
Polymorph energy (0 for the lowest one) = 1.4616 eV per atom

---

# 12
Below is a relaxed CdInAg4 crystal, with properties calculated at the PBE level.

Geometry as POSCAR:
```
CdInAg4
1.0
2.921 -8.290 0.000
2.921 8.290 0.000
-0.179 0.000 4.814
Cd In Ag
2 2 8
Direct
0.125 0.875 0.750 Cd
0.875 0.125 0.250 Cd
0.375 0.625 0.250 In
0.625 0.375 0.750 In
0.041 0.458 0.750 Ag
0.207 0.290 0.756 Ag
0.290 0.207 0.256 Ag
0.458 0.041 0.250 Ag
0.542 0.959 0.750 Ag
0.710 0.793 0.744 Ag
0.793 0.710 0.244 Ag
0.959 0.542 0.250 Ag
```

Results
Energy of formation from the pure elements = 0.03 eV/atom
N(E_F) = 1.4 states/eV/f.u.
Polymorph energy (0 for the lowest one) = 0.0000 eV per atom

---

# 13
Below is a relaxed MnNi2Hg2 crystal, with properties calculated at the PBE level.

Geometry as POSCAR:
```
MnNi2Hg2
1.0
6.454 0.000 0.000
0.000 6.454 0.000
0.000 0.000 3.893
Mn Ni Hg
2 4 4
Direct
0.000 0.000 0.000 Mn
0.500 0.500 0.000 Mn
0.131 0.369 0.000 Ni
0.369 0.869 0.000 Ni
0.631 0.131 0.000 Ni
0.869 0.631 0.000 Ni
0.172 0.672 0.500 Hg
0.328 0.172 0.500 Hg
0.672 0.828 0.500 Hg
0.828 0.328 0.500 Hg
```

Results
Energy of formation from the pure elements = 0.21 eV/atom
N(E_F) = 3.1 states/eV/f.u.

---

# 14
Below is a relaxed Tb3Er5Mg crystal, with properties calculated at the PBE level.

Geometry as POSCAR:
```
Tb3Er5Mg
1.0
7.433 -5.675 0.000
7.433 5.675 0.000
-6.137 0.000 7.502
Tb Er Mg
6 10 2
Direct
0.000 0.000 0.000 Tb
0.012 0.012 0.321 Tb
0.481 0.481 0.141 Tb
0.500 0.500 0.500 Tb
0.519 0.519 0.859 Tb
0.988 0.988 0.679 Tb
0.090 0.597 0.747 Er
0.226 0.226 0.744 Er
0.241 0.759 0.500 Er
0.281 0.281 0.470 Er
0.403 0.910 0.253 Er
0.597 0.090 0.747 Er
0.719 0.719 0.530 Er
0.759 0.241 0.500 Er
0.774 0.774 0.256 Er
0.910 0.403 0.253 Er
0.249 0.249 0.108 Mg
0.751 0.751 0.892 Mg
```

Results
Energy of formation from the pure elements = 0.52 eV/atom
N(E_F) = 12.0 states/eV/f.u.

---

# 15
Below is a relaxed K2AsAu crystal, with properties calculated at the PBE level.

Geometry as POSCAR:
```
K2AsAu
1.0
3.789 0.000 0.000
-1.895 3.282 0.000
0.000 0.000 30.238
K As Au
6 3 3
Direct
0.000 0.000 0.247 K
0.000 0.000 0.753 K
0.333 0.667 0.419 K
0.333 0.667 0.914 K
0.667 0.333 0.086 K
0.667 0.333 0.581 K
0.000 0.000 0.000 As
0.333 0.667 0.667 As
0.667 0.333 0.333 As
0.000 0.000 0.500 Au
0.333 0.667 0.167 Au
0.667 0.333 0.833 Au
```

Results
Energy of formation from the pure elements = 0.05 eV/atom
N(E_F) = 2.3 states/eV/f.u.

---

# 16
Below is a relaxed PrErCl3 crystal, with properties calculated at the PBE level.

Geometry as POSCAR:
```
PrErCl3
1.0
8.139 -1.934 0.000
8.139 1.934 0.000
-5.481 0.000 9.370
Pr Er Cl
2 2 6
Direct
0.141 0.141 0.291 Pr
0.859 0.859 0.709 Pr
0.417 0.417 0.045 Er
0.583 0.583 0.955 Er
0.048 0.048 0.758 Cl
0.219 0.219 0.110 Cl
0.343 0.343 0.492 Cl
0.657 0.657 0.508 Cl
0.781 0.781 0.890 Cl
0.952 0.952 0.242 Cl
```

Results
Formation energy (no corrections) = -1.8253 eV/atom

---

# 17
Below is a relaxed TaCd4Tc crystal, with properties calculated at the PBE level.

Geometry as POSCAR:
```
TaCd4Tc
1.0
0.000 3.843 3.843
3.843 0.000 3.843
3.843 3.843 0.000
Ta Cd Tc
1 4 1
Direct
0.000 0.000 0.000 Ta
0.375 0.375 0.375 Cd
0.375 0.375 0.875 Cd
0.375 0.875 0.375 Cd
0.875 0.375 0.375 Cd
0.750 0.750 0.750 Tc
```

Results
Energy of formation from the pure elements = 0.58 eV/atom
N(E_F) = 1.8 states/eV/f.u.

---

# 18
Below is a relaxed Ag3Rh crystal, with properties calculated at the PBE level.

Geometry as POSCAR:
```
Ag3Rh
1.0
4.712 0.000 0.000
0.000 5.831 0.000
0.000 0.000 4.912
Ag Rh
6 2
Direct
0.250 0.001 0.175 Ag
0.250 0.499 0.175 Ag
0.250 0.750 0.667 Ag
0.750 0.250 0.333 Ag
0.750 0.501 0.825 Ag
0.750 0.999 0.825 Ag
0.250 0.250 0.678 Rh
0.750 0.750 0.322 Rh
```

Results
Energy of formation from the pure elements = 0.22 eV/atom
N(E_F) = 3.2 states/eV/f.u.

---

# 19
Below is a relaxed La4YW crystal, with properties calculated at the PBE level.

Geometry as POSCAR:
```
La4YW
1.0
0.000 4.485 4.485
4.485 0.000 4.485
4.485 4.485 0.000
La Y W
4 1 1
Direct
0.123 0.123 0.123 La
0.123 0.123 0.631 La
0.123 0.631 0.123 La
0.631 0.123 0.123 La
0.500 0.500 0.500 Y
0.750 0.750 0.750 W
```

Results
Energy of formation from the pure elements = 0.88 eV/atom
N(E_F) = 11.2 states/eV/f.u.

---

# 20
Below is a relaxed MgPd12Pt3 crystal, with properties calculated at the PBE level.

Geometry as POSCAR:
```
MgPd12Pt3
1.0
3.941 0.000 0.000
0.000 3.941 0.000
0.000 0.000 15.898
Mg Pd Pt
1 12 3
Direct
0.000 0.000 0.000 Mg
0.000 0.500 0.125 Pd
0.000 0.500 0.376 Pd
0.000 0.500 0.624 Pd
0.000 0.500 0.875 Pd
0.500 0.000 0.125 Pd
0.500 0.000 0.376 Pd
0.500 0.000 0.624 Pd
0.500 0.000 0.875 Pd
0.500 0.500 0.000 Pd
0.500 0.500 0.250 Pd
0.500 0.500 0.500 Pd
0.500 0.500 0.750 Pd
0.000 0.000 0.252 Pt
0.000 0.000 0.500 Pt
0.000 0.000 0.748 Pt
```

Results
Energy of formation from the pure elements = -0.14 eV/atom
N(E_F) = 32.6 states/eV/f.u.